1.
# Fe2Re4Tc3 (GGA-PBE, relaxed)
# - Total moment: 0.003 μB per cell
# - Uncorrected energy: -96.4 eV/f.u.
# - Density of states at the Fermi level: 17.86 states/eV/cell
data_Fe2Re4Tc3
_cell_length_a 5.986
_cell_length_b 5.986
_cell_length_c 7.138
_cell_angle_alpha 90.89
_cell_angle_beta 90.89
_cell_angle_gamma 94.62
_symmetry_space_group_name_H-M 'P 1'
_symmetry_Int_Tables_number 1
_symmetry_space_group_name_Hall 'P 1'
loop_
_atom_site_label
_atom_site_fract_x
_atom_site_fract_y
_atom_site_fract_z
Fe1 0.028 0.304 0.436
Fe2 0.304 0.028 0.936
Fe3 0.696 0.972 0.064
Fe4 0.972 0.696 0.564
Re1 0.028 0.298 0.080
Re2 0.298 0.028 0.580
Re3 0.339 0.619 0.428
Re4 0.381 0.661 0.072
Re5 0.619 0.339 0.928
Re6 0.661 0.381 0.572
Re7 0.702 0.972 0.420
Re8 0.972 0.702 0.920
Tc1 0.085 0.915 0.250
Tc2 0.234 0.420 0.753
Tc3 0.420 0.234 0.253
Tc4 0.580 0.766 0.747
Tc5 0.766 0.580 0.247
Tc6 0.915 0.085 0.750

=====

2.
# RbRu3O (GGA-PBE, relaxed)
# - ΔE_f (raw): 1146.2 meV per atom
# - Total moment: 0.000 μB per cell
# - Uncorrected energy: -28.0 eV/f.u.
# - Energy above the lowest structure with this stoichiometry: 0 meV per atom
# - Density of states at the Fermi level: 6.37 states/eV/cell
data_RbRu3O
_cell_length_a 4.305
_cell_length_b 4.305
_cell_length_c 4.305
_cell_angle_alpha 90.00
_cell_angle_beta 90.00
_cell_angle_gamma 90.00
_symmetry_space_group_name_H-M 'P 1'
_symmetry_Int_Tables_number 1
_symmetry_space_group_name_Hall 'P 1'
loop_
_atom_site_label
_atom_site_fract_x
_atom_site_fract_y
_atom_site_fract_z
Rb1 0.000 0.000 0.000
Ru1 0.000 0.500 0.500
Ru2 0.500 0.000 0.500
Ru3 0.500 0.500 0.000
O1 0.500 0.500 0.500

=====

3.
# Nd3GeSbBr (GGA-PBE, relaxed)
# - ΔE_f (raw): -1068.8 meV per atom
# - Total moment: 0.000 μB per cell
# - Uncorrected energy: -31.1 eV/f.u.
# - Density of states at the Fermi level: 7.23 states/eV/cell
data_Nd3GeSbBr
_cell_length_a 7.618
_cell_length_b 4.300
_cell_length_c 11.507
_cell_angle_alpha 90.00
_cell_angle_beta 102.10
_cell_angle_gamma 90.00
_symmetry_space_group_name_H-M 'P 1'
_symmetry_Int_Tables_number 1
_symmetry_space_group_name_Hall 'P 1'
loop_
_atom_site_label
_atom_site_fract_x
_atom_site_fract_y
_atom_site_fract_z
Nd1 0.045 0.250 0.145
Nd2 0.287 0.250 0.497
Nd3 0.455 0.750 0.846
Nd4 0.545 0.250 0.154
Nd5 0.713 0.750 0.503
Nd6 0.955 0.750 0.855
Ge1 0.233 0.250 0.938
Ge2 0.767 0.750 0.062
Sb1 0.348 0.750 0.307
Sb2 0.652 0.250 0.693
Br1 0.122 0.750 0.630
Br2 0.878 0.250 0.370

=====

4.
# Hf3AlP (GGA-PBE, relaxed)
# - Total moment: 0.000 μB per cell
# - Uncorrected energy: -34.6 eV/f.u.
# - Energy above the lowest structure with this stoichiometry: 1458 meV per atom
# - Density of states at the Fermi level: 8.65 states/eV/cell
data_Hf3AlP
_cell_length_a 4.901
_cell_length_b 4.901
_cell_length_c 4.901
_cell_angle_alpha 90.00
_cell_angle_beta 90.00
_cell_angle_gamma 90.00
_symmetry_space_group_name_H-M 'P 1'
_symmetry_Int_Tables_number 1
_symmetry_space_group_name_Hall 'P 1'
loop_
_atom_site_label
_atom_site_fract_x
_atom_site_fract_y
_atom_site_fract_z
Hf1 0.000 0.000 0.500
Hf2 0.000 0.500 0.000
Hf3 0.500 0.000 0.000
Al1 0.000 0.000 0.000
P1 0.500 0.500 0.500

=====

5.
# Ba4Au2Cl (GGA-PBE, relaxed)
# - ΔE_f (raw): -812.6 meV per atom
# - Total moment: 0.000 μB per cell
# - Uncorrected energy: -21.8 eV/f.u.
# - Density of states at the Fermi level: 8.66 states/eV/cell
data_Ba4Au2Cl
_cell_length_a 9.076
_cell_length_b 9.076
_cell_length_c 9.076
_cell_angle_alpha 140.13
_cell_angle_beta 140.13
_cell_angle_gamma 57.66
_symmetry_space_group_name_H-M 'P 1'
_symmetry_Int_Tables_number 1
_symmetry_space_group_name_Hall 'P 1'
loop_
_atom_site_label
_atom_site_fract_x
_atom_site_fract_y
_atom_site_fract_z
Ba1 0.000 0.500 0.500
Ba2 0.211 0.211 0.000
Ba3 0.500 0.000 0.500
Ba4 0.789 0.789 0.000
Au1 0.408 0.408 0.000
Au2 0.592 0.592 0.000
Cl1 0.000 0.000 0.000

=====

6.
# LaZrCl (GGA-PBE, relaxed)
# - ΔE_f (raw): -672.0 meV per atom
# - Total moment: 0.000 μB per cell
# - Uncorrected energy: -17.3 eV/f.u.
# - Energy above the lowest structure with this stoichiometry: 238 meV per atom
# - Density of states at the Fermi level: 1.88 states/eV/cell
data_LaZrCl
_cell_length_a 3.477
_cell_length_b 3.477
_cell_length_c 7.418
_cell_angle_alpha 90.00
_cell_angle_beta 90.00
_cell_angle_gamma 120.00
_symmetry_space_group_name_H-M 'P 1'
_symmetry_Int_Tables_number 1
_symmetry_space_group_name_Hall 'P 1'
loop_
_atom_site_label
_atom_site_fract_x
_atom_site_fract_y
_atom_site_fract_z
La1 0.000 0.000 0.000
Zr1 0.667 0.333 0.362
Cl1 0.333 0.667 0.611

=====

7.
# PrLuHf (GGA-PBE, relaxed)
# - Total moment: 0.000 μB per cell
# - Uncorrected energy: -18.8 eV/f.u.
# - Energy above the lowest structure with this stoichiometry: 0 meV per atom
# - Density of states at the Fermi level: 4.52 states/eV/cell
data_PrLuHf
_cell_length_a 7.986
_cell_length_b 7.986
_cell_length_c 7.986
_cell_angle_alpha 155.77
_cell_angle_beta 155.77
_cell_angle_gamma 34.53
_symmetry_space_group_name_H-M 'P 1'
_symmetry_Int_Tables_number 1
_symmetry_space_group_name_Hall 'P 1'
loop_
_atom_site_label
_atom_site_fract_x
_atom_site_fract_y
_atom_site_fract_z
Pr1 0.000 0.000 0.000
Lu1 0.310 0.310 0.000
Hf1 0.666 0.666 0.000

=====

8.
# PrDy3Th (GGA-PBE, relaxed)
# - Total moment: 0.000 μB per cell
# - Uncorrected energy: -25.9 eV/f.u.
# - Energy above the lowest structure with this stoichiometry: 0 meV per atom
# - Density of states at the Fermi level: 28.04 states/eV/cell
data_PrDy3Th
_cell_length_a 10.135
_cell_length_b 3.596
_cell_length_c 17.852
_cell_angle_alpha 90.00
_cell_angle_beta 90.00
_cell_angle_gamma 90.00
_symmetry_space_group_name_H-M 'P 1'
_symmetry_Int_Tables_number 1
_symmetry_space_group_name_Hall 'P 1'
loop_
_atom_site_label
_atom_site_fract_x
_atom_site_fract_y
_atom_site_fract_z
Pr1 0.124 0.250 0.149
Pr2 0.376 0.750 0.649
Pr3 0.624 0.250 0.351
Pr4 0.876 0.750 0.851
Dy1 0.119 0.250 0.353
Dy2 0.129 0.250 0.748
Dy3 0.132 0.250 0.951
Dy4 0.368 0.750 0.451
Dy5 0.371 0.750 0.248
Dy6 0.381 0.750 0.853
Dy7 0.619 0.250 0.147
Dy8 0.629 0.250 0.752
Dy9 0.632 0.250 0.549
Dy10 0.868 0.750 0.049
Dy11 0.871 0.750 0.252
Dy12 0.881 0.750 0.647
Th1 0.122 0.250 0.549
Th2 0.378 0.750 0.049
Th3 0.622 0.250 0.951
Th4 0.878 0.750 0.451

=====

9.
# CeGdRh2 (GGA-PBE, relaxed)
# - Total moment: 6.576 μB per cell
# - Uncorrected energy: -37.6 eV/f.u.
# - Energy above the lowest structure with this stoichiometry: 14 meV per atom
# - Density of states at the Fermi level: 4.71 states/eV/cell
data_CeGdRh2
_cell_length_a 4.917
_cell_length_b 4.917
_cell_length_c 4.917
_cell_angle_alpha 60.00
_cell_angle_beta 60.00
_cell_angle_gamma 60.00
_symmetry_space_group_name_H-M 'P 1'
_symmetry_Int_Tables_number 1
_symmetry_space_group_name_Hall 'P 1'
loop_
_atom_site_label
_atom_site_fract_x
_atom_site_fract_y
_atom_site_fract_z
Ce1 0.000 0.000 0.000
Gd1 0.500 0.500 0.500
Rh1 0.250 0.250 0.250
Rh2 0.750 0.750 0.750

=====

10.
# LaCuSi2 (GGA-PBE, relaxed)
# - ΔE_f (raw): -391.9 meV per atom
# - Total moment: 0.000 μB per cell
# - Uncorrected energy: -21.4 eV/f.u.
# - Density of states at the Fermi level: 0.57 states/eV/cell
data_LaCuSi2
_cell_length_a 4.393
_cell_length_b 4.040
_cell_length_c 4.672
_cell_angle_alpha 90.00
_cell_angle_beta 101.23
_cell_angle_gamma 90.00
_symmetry_space_group_name_H-M 'P 1'
_symmetry_Int_Tables_number 1
_symmetry_space_group_name_Hall 'P 1'
loop_
_atom_site_label
_atom_site_fract_x
_atom_site_fract_y
_atom_site_fract_z
La1 0.000 0.000 0.000
Cu1 0.500 0.000 0.500
Si1 0.285 0.500 0.639
Si2 0.715 0.500 0.361

=====

11.
# Ho2AlSi3 (GGA-PBE, relaxed)
# - ΔE_f (raw): -588.9 meV per atom
# - Total moment: 0.000 μB per cell
# - Uncorrected energy: -32.7 eV/f.u.
# - Density of states at the Fermi level: 15.56 states/eV/cell
data_Ho2AlSi3
_cell_length_a 6.625
_cell_length_b 4.106
_cell_length_c 17.451
_cell_angle_alpha 90.00
_cell_angle_beta 90.00
_cell_angle_gamma 90.00
_symmetry_space_group_name_H-M 'P 1'
_symmetry_Int_Tables_number 1
_symmetry_space_group_name_Hall 'P 1'
loop_
_atom_site_label
_atom_site_fract_x
_atom_site_fract_y
_atom_site_fract_z
Ho1 0.168 0.250 0.084
Ho2 0.171 0.250 0.297
Ho3 0.329 0.750 0.797
Ho4 0.332 0.750 0.584
Ho5 0.668 0.250 0.416
Ho6 0.671 0.250 0.203
Ho7 0.829 0.750 0.703
Ho8 0.832 0.750 0.916
Al1 0.045 0.750 0.435
Al2 0.455 0.250 0.935
Al3 0.545 0.750 0.065
Al4 0.955 0.250 0.565
Si1 0.017 0.250 0.819
Si2 0.152 0.250 0.691
Si3 0.248 0.250 0.464
Si4 0.252 0.750 0.964
Si5 0.348 0.750 0.191
Si6 0.483 0.750 0.319
Si7 0.517 0.250 0.681
Si8 0.652 0.250 0.809
Si9 0.748 0.250 0.036
Si10 0.752 0.750 0.536
Si11 0.848 0.750 0.309
Si12 0.983 0.750 0.181

=====

12.
# Pm3HoTm2S6 (GGA-PBE, relaxed)
# - ΔE_f (raw): -1999.3 meV per atom
# - Total moment: 0.000 μB per cell
# - Uncorrected energy: -76.5 eV/f.u.
# - Density of states at the Fermi level: 5.18 states/eV/cell
data_Pm3HoTm2S6
_cell_length_a 6.785
_cell_length_b 6.785
_cell_length_c 6.927
_cell_angle_alpha 99.38
_cell_angle_beta 99.38
_cell_angle_gamma 120.16
_symmetry_space_group_name_H-M 'P 1'
_symmetry_Int_Tables_number 1
_symmetry_space_group_name_Hall 'P 1'
loop_
_atom_site_label
_atom_site_fract_x
_atom_site_fract_y
_atom_site_fract_z
Pm1 0.000 0.000 0.000
Pm2 0.334 0.666 0.000
Pm3 0.666 0.334 0.000
Ho1 0.500 0.500 0.500
Tm1 0.167 0.833 0.500
Tm2 0.833 0.167 0.500
S1 0.087 0.422 0.267
S2 0.241 0.241 0.732
S3 0.422 0.087 0.267
S4 0.578 0.913 0.733
S5 0.759 0.759 0.268
S6 0.913 0.578 0.733